[1]
# Y2ScSe

An optimized crystal structure of Y2ScSe (GGA-PBE, the Alexandria database).

a b c (Å): 5.9257 5.9257 5.9257
angles (deg): 135.32 135.32 65.03
Positions (direct):
Sc  0.2500  0.7500  0.5000
Se  0.7500  0.2500  0.5000
Y  0.0000  0.0000  0.0000
Y  0.5000  0.5000  0.0000

Results
DFT total energy, eV per atom: -6.033
Raw formation energy, meV per atom: -347

=====

[2]
# YScSe

An optimized crystal structure of YScSe (GGA-PBE, the Alexandria database).

a b c (Å): 3.7723 3.7723 6.2181
angles (deg): 90.00 90.00 120.00
Positions (direct):
Sc  0.0000  0.0000  0.0606
Se  0.6667  0.3333  0.3193
Y  0.3333  0.6667  0.6201

Results
DFT total energy, eV per atom: -6.486
Raw formation energy, meV per atom: -1060